[1]
Below is ScP2Os after structural relaxation, with properties calculated at the GGA-PBE level.

The value obtained for the polymorph energy (0 for the lowest one) is 0.269 eV per formula unit.

The space group is Pmmm (No. 47) and the conventional cell measures 3.395, 3.877 and 4.856 Å, with angles of 90.00, 90.00 and 90.00 degrees. The inequivalent atoms are Sc at (0.000, 0.000, 0.000), P at (0.500, 0.500, 0.227) and Os at (0.500, 0.000, 0.500).

[2]
Below is ScP2Os after structural relaxation, with properties calculated at the GGA-PBE level.

The value obtained for the polymorph energy (0 for the lowest one) is 1.890 eV per formula unit.

The space group is I-4m2 (No. 119) and the conventional cell measures 3.608, 3.608 and 9.249 Å, with angles of 90.00, 90.00 and 90.00 degrees. The inequivalent atoms are Sc at (0.000, 0.000, 0.000), P at (0.000, 0.000, 0.500), P at (0.000, 0.500, 0.250) and Os at (0.000, 0.500, 0.750).

[3]
Below is ScP2Os after structural relaxation, with properties calculated at the GGA-PBE level.

The value obtained for the polymorph energy (0 for the lowest one) is 1.148 eV per formula unit.

The space group is P4mm (No. 99) and the conventional cell measures 3.368, 3.368 and 5.447 Å, with angles of 90.00, 90.00 and 90.00 degrees. The inequivalent atoms are Sc at (0.000, 0.000, 0.000), P at (0.000, 0.000, 0.504), P at (0.500, 0.500, 0.822) and Os at (0.500, 0.500, 0.362).

[4]
Below is ScP2Os after structural relaxation, with properties calculated at the GGA-PBE level.

The value obtained for the polymorph energy (0 for the lowest one) is 0.933 eV per formula unit.

The space group is Amm2 (No. 38) and the conventional cell measures 4.308, 3.230 and 8.658 Å, with angles of 90.00, 90.00 and 90.00 degrees. The inequivalent atoms are Sc at (0.000, 0.000, 0.000), P at (0.000, 0.000, 0.276), P at (0.500, 0.000, 0.457) and Os at (0.500, 0.000, 0.740).

[5]
Below is ScP2Os after structural relaxation, with properties calculated at the GGA-PBE level.

The value obtained for the polymorph energy (0 for the lowest one) is 1.179 eV per formula unit.

The space group is Fm-3m (No. 225) and the conventional cell measures 6.155, 6.155 and 6.155 Å, with angles of 90.00, 90.00 and 90.00 degrees. The inequivalent atoms are Sc at (0.000, 0.000, 0.000), P at (0.250, 0.250, 0.250) and Os at (0.000, 0.000, 0.500).

[6]
Below is ScP2Os after structural relaxation, with properties calculated at the GGA-PBE level.

The value obtained for the polymorph energy (0 for the lowest one) is 0.194 eV per formula unit.

The space group is Imm2 (No. 44) and the conventional cell measures 3.030, 3.595 and 11.607 Å, with angles of 90.00, 90.00 and 90.00 degrees. The inequivalent atoms are Sc at (0.000, 0.000, 0.000), P at (0.000, 0.000, 0.402), P at (0.000, 0.500, 0.169) and Os at (0.000, 0.500, 0.742).

[7]
Below is Sc3POs after structural relaxation, with properties calculated at the GGA-PBE level.

The value obtained for the polymorph energy (0 for the lowest one) is 0.000 eV per formula unit.

The space group is Pm-3m (No. 221) and the conventional cell measures 4.756, 4.756 and 4.756 Å, with angles of 90.00, 90.00 and 90.00 degrees. The inequivalent atoms are Sc at (0.000, 0.000, 0.500), P at (0.000, 0.000, 0.000) and Os at (0.500, 0.500, 0.500).

[8]
Below is ScP2Os after structural relaxation, with properties calculated at the GGA-PBE level.

The value obtained for the polymorph energy (0 for the lowest one) is 1.318 eV per formula unit.

The space group is Cmmm (No. 65) and the conventional cell measures 3.945, 4.536 and 6.584 Å, with angles of 90.00, 90.00 and 90.00 degrees. The inequivalent atoms are Sc at (0.000, 0.000, 0.000), P at (0.000, 0.500, 0.273) and Os at (0.000, 0.000, 0.500).

[9]
Below is Sc2POs after structural relaxation, with properties calculated at the GGA-PBE level.

The space group is R-3m (No. 166, hexagonal axes) and the conventional cell measures 3.4400, 3.4400 and 21.3900 Å, with angles of 90.00, 90.00 and 120.00 degrees. The inequivalent atoms are Sc at (0.0000, 0.0000, 0.2445), P at (0.0000, 0.0000, 0.5000) and Os at (0.0000, 0.0000, 0.0000).

[10]
Below is ScPOs4 after structural relaxation, with properties calculated at the GGA-PBE level.

The space group is F-43m (No. 216) and the conventional cell measures 7.348, 7.348 and 7.348 Å, with angles of 90.00, 90.00 and 90.00 degrees. The inequivalent atoms are Sc at (0.000, 0.000, 0.000), P at (0.250, 0.250, 0.250) and Os at (0.125, 0.125, 0.625).

[11]
Below is Sc2POs after structural relaxation, with properties calculated at the GGA-PBE level.

The space group is I4/mmm (No. 139) and the conventional cell measures 4.242, 4.242 and 7.358 Å, with angles of 90.00, 90.00 and 90.00 degrees. The inequivalent atoms are Sc at (0.000, 0.500, 0.250), P at (0.000, 0.000, 0.000) and Os at (0.000, 0.000, 0.500).

[12]
Below is Sc2POs after structural relaxation, with properties calculated at the GGA-PBE level.

The space group is P4/mmm (No. 123) and the conventional cell measures 4.450, 4.450 and 3.396 Å, with angles of 90.00, 90.00 and 90.00 degrees. The inequivalent atoms are Sc at (0.000, 0.500, 0.000), P at (0.000, 0.000, 0.500) and Os at (0.500, 0.500, 0.500).

| no. | E_form (eV per atom) |
| --- | --- |
| 1 | -0.60 |
| 2 | -0.20 |
| 3 | -0.38 |
| 4 | -0.44 |
| 5 | -0.38 |
| 6 | -0.62 |
| 7 | 0.00 |
| 8 | -0.34 |
| 9 | -0.49 |
| 10 | 0.44 |
| 11 | -0.52 |
| 12 | -0.66 |